Entry 1:
# VCrGa (PBE, optimized geometry)
data_VCrGa
_symmetry_space_group_name_H-M 'C 1 2/m 1'
_symmetry_Int_Tables_number 12
_cell_length_a 8.904
_cell_length_b 4.172
_cell_length_c 5.154
_cell_angle_alpha 90.00
_cell_angle_beta 124.95
_cell_angle_gamma 90.00
loop_
_symmetry_equiv_pos_as_xyz
'x,y,z'
'-x,-y,-z'
'-x,y,-z'
'x,-y,z'
'x+1/2,y+1/2,z'
'-x+1/2,-y+1/2,-z'
'-x+1/2,y+1/2,-z'
'x+1/2,-y+1/2,z'
loop_
_atom_site_label
_atom_site_type_symbol
_atom_site_fract_x
_atom_site_fract_y
_atom_site_fract_z
_atom_site_occupancy
V1 V 0.172 0.000 0.110 1
Cr1 Cr 0.161 0.000 0.600 1
Ga1 Ga 0.005 0.500 0.254 1
# Distance to the lowest polymorph of the same formula ... 0.0527 eV per atom

=====

Entry 2:
# V6CrGa2 (PBE, optimized geometry)
data_V6CrGa2
_symmetry_space_group_name_H-M 'C 1 2/m 1'
_symmetry_Int_Tables_number 12
_cell_length_a 7.424
_cell_length_b 4.213
_cell_length_c 7.801
_cell_angle_alpha 90.00
_cell_angle_beta 90.41
_cell_angle_gamma 90.00
loop_
_symmetry_equiv_pos_as_xyz
'x,y,z'
'-x,-y,-z'
'-x,y,-z'
'x,-y,z'
'x+1/2,y+1/2,z'
'-x+1/2,-y+1/2,-z'
'-x+1/2,y+1/2,-z'
'x+1/2,-y+1/2,z'
loop_
_atom_site_label
_atom_site_type_symbol
_atom_site_fract_x
_atom_site_fract_y
_atom_site_fract_z
_atom_site_occupancy
V1 V 0.004 0.000 0.306 1
V2 V 0.165 0.500 0.896 1
V3 V 0.170 0.500 0.222 1
Cr1 Cr 0.000 0.000 0.000 1
Ga1 Ga 0.164 0.500 0.565 1
# Distance to the lowest polymorph of the same formula ... 0.0000 eV per atom

=====

Entry 3:
A plane-wave DFT calculation with PBE was carried out for a relaxed structure of V7CrGa2.

The structure in CIF format:
```
data_V7CrGa2
_symmetry_space_group_name_H-M 'F m -3 m'
_symmetry_Int_Tables_number 225
_symmetry_space_group_name_Hall '-F 4 2 3'
_cell_length_a 8.641
_cell_length_b 8.641
_cell_length_c 8.641
_cell_angle_alpha 90.00
_cell_angle_beta 90.00
_cell_angle_gamma 90.00
loop_
_atom_site_label
_atom_site_type_symbol
_atom_site_fract_x
_atom_site_fract_y
_atom_site_fract_z
_atom_site_occupancy
V1 V 0.000 0.000 0.000 1
V2 V 0.000 0.000 0.252 1
Cr1 Cr 0.000 0.000 0.500 1
Ga1 Ga 0.250 0.250 0.250 1
```

=====

Entry 4:
A plane-wave DFT calculation with PBE was carried out for a relaxed structure of V5Cr4Ga.

The structure in CIF format:
```
data_V5Cr4Ga
_symmetry_space_group_name_H-M 'P 4/m m m'
_symmetry_Int_Tables_number 123
_symmetry_space_group_name_Hall '-P 4 2'
_cell_length_a 2.960
_cell_length_b 2.960
_cell_length_c 14.522
_cell_angle_alpha 90.00
_cell_angle_beta 90.00
_cell_angle_gamma 90.00
loop_
_atom_site_label
_atom_site_type_symbol
_atom_site_fract_x
_atom_site_fract_y
_atom_site_fract_z
_atom_site_occupancy
V1 V 0.000 0.000 0.000 1
V2 V 0.000 0.000 0.197 1
V3 V 0.000 0.000 0.390 1
Cr1 Cr 0.500 0.500 0.099 1
Cr2 Cr 0.500 0.500 0.300 1
Ga1 Ga 0.500 0.500 0.500 1
```

=====

no.,formation energy from the elements (eV per atom)
1,-0.1078
2,-0.0507
3,0.8274
4,-0.1069